# PBE Cu2PtCl, optimized geometry
data_Cu2PtCl
_chemical_formula_sum 'Cu2 Pt1 Cl1'
_cell_length_a 2.9648
_cell_length_b 4.3057
_cell_length_c 4.7061
_cell_angle_alpha 90.00
_cell_angle_beta 90.00
_cell_angle_gamma 90.00
_symmetry_space_group_name_H-M 'P m m m'
_symmetry_Int_Tables_number 47
_symmetry_space_group_name_Hall '-P 2 2'
loop_
_atom_site_label
_atom_site_type_symbol
_atom_site_fract_x
_atom_site_fract_y
_atom_site_fract_z
Cu1 Cu 0.0000 0.0000 0.0000
Cu2 Cu 0.5000 0.0000 0.5000
Pt1 Pt 0.0000 0.5000 0.5000
Cl1 Cl 0.5000 0.5000 0.0000
# - ΔE_f (raw): 9.54 kcal/mol of atoms